# PmHfIrRu

PmHfIrRu after structural relaxation (PBE, Alexandria).

energy of formation from the pure elements = -0.5280 eV per atom

Geometry as POSCAR:
```
PmHfIrRu
1.0
0.0000 3.3789 3.3789
3.3789 0.0000 3.3789
3.3789 3.3789 0.0000
Pm Hf Ir Ru
1 1 1 1
Direct
0.0000 0.0000 0.0000 Pm
0.5000 0.5000 0.5000 Hf
0.2500 0.2500 0.2500 Ir
0.7500 0.7500 0.7500 Ru
```


# NdDyCuPd

NdDyCuPd after structural relaxation (PBE, Alexandria).

energy of formation from the pure elements = -0.4991 eV per atom

Geometry as POSCAR:
```
NdDyCuPd
1.0
0.0000 3.5566 3.5566
3.5566 0.0000 3.5566
3.5566 3.5566 0.0000
Nd Dy Cu Pd
1 1 1 1
Direct
0.0000 0.0000 0.0000 Nd
0.5000 0.5000 0.5000 Dy
0.7500 0.7500 0.7500 Cu
0.2500 0.2500 0.2500 Pd
```


# BaCa2PbS4

BaCa2PbS4 after structural relaxation (PBE, Alexandria).

formation energy without anion corrections = -1308 kJ/mol of formula units

Geometry as POSCAR:
```
BaCa2PbS4
1.0
-4.2302 4.2338 5.9820
4.2302 -4.2338 5.9820
4.2302 4.2338 -5.9820
Ba Ca Pb S
2 4 2 8
Direct
0.5000 0.0000 0.0000 Ba
0.5000 0.5000 0.5000 Ba
0.0000 0.0000 0.0000 Ca
0.0000 0.0000 0.5000 Ca
0.0000 0.5000 0.0000 Ca
0.5000 0.0000 0.5000 Ca
0.0000 0.5000 0.5000 Pb
0.5000 0.5000 0.0000 Pb
0.2248 0.2445 0.9803 S
0.2357 0.7555 0.4803 S
0.2402 0.2291 0.4889 S
0.2402 0.7513 0.0111 S
0.7598 0.2487 0.9889 S
0.7598 0.7709 0.5111 S
0.7643 0.2445 0.5197 S
0.7752 0.7555 0.0197 S
```


# Mg2HO

Mg2HO after structural relaxation (PBE, Alexandria).

calculated total energy = -13.911 eV/cell

Geometry as POSCAR:
```
Mg2HO
1.0
0.0000 2.8049 2.8049
2.8049 0.0000 2.8049
2.8049 2.8049 0.0000
Mg H O
2 1 1
Direct
0.2500 0.2500 0.2500 Mg
0.7500 0.7500 0.7500 Mg
0.0000 0.0000 0.0000 H
0.5000 0.5000 0.5000 O
```


# ZnNiBr

ZnNiBr after structural relaxation (PBE, Alexandria).

formation energy without anion corrections = -69 kJ/mol of formula units

Geometry as POSCAR:
```
ZnNiBr
1.0
2.6808 -2.7188 0.0000
2.6808 2.7188 0.0000
-1.5415 0.0000 8.5092
Zn Ni Br
2 2 2
Direct
0.0000 0.0000 0.0000 Zn
0.5039 0.5039 0.0083 Zn
0.4449 0.9563 0.8167 Ni
0.9563 0.4449 0.8167 Ni
0.4187 0.4187 0.6263 Br
0.8217 0.8217 0.2574 Br
```


# CsSbPb3

CsSbPb3 after structural relaxation (PBE, Alexandria).

formation energy without anion corrections = -44 kJ/mol of formula units

Geometry as POSCAR:
```
CsSbPb3
1.0
5.3299 0.0000 0.0000
0.0000 5.3299 0.0000
0.0000 0.0000 6.9065
Cs Sb Pb
1 1 3
Direct
0.0000 0.0000 0.0000 Cs
0.5000 0.5000 0.2072 Sb
0.0000 0.5000 0.4870 Pb
0.5000 0.0000 0.4870 Pb
0.5000 0.5000 0.7703 Pb
```


# Er2FeIr3

Er2FeIr3 after structural relaxation (PBE, Alexandria).

energy of formation from the pure elements = -0.7087 eV per atom

Geometry as POSCAR:
```
Er2FeIr3
1.0
5.4367 0.0000 0.0000
-2.7184 4.7083 0.0000
0.0000 0.0000 8.1989
Er Fe Ir
4 2 6
Direct
0.3333 0.6667 0.0633 Er
0.3333 0.6667 0.4367 Er
0.6667 0.3333 0.5633 Er
0.6667 0.3333 0.9367 Er
0.0000 0.0000 0.0000 Fe
0.0000 0.0000 0.5000 Fe
0.1686 0.3373 0.7500 Ir
0.1686 0.8314 0.7500 Ir
0.3373 0.1686 0.2500 Ir
0.6627 0.8314 0.7500 Ir
0.8314 0.1686 0.2500 Ir
0.8314 0.6627 0.2500 Ir
```


# KZr2Au

KZr2Au after structural relaxation (PBE, Alexandria).

energy of formation from the pure elements = 0.3116 eV per atom

Geometry as POSCAR:
```
KZr2Au
1.0
5.3693 -1.5688 0.0000
5.3693 1.5688 0.0000
-1.2879 0.0000 7.0718
K Zr Au
1 2 1
Direct
0.0000 0.0000 0.0000 K
0.1980 0.1980 0.5783 Zr
0.4657 0.4657 0.4938 Zr
0.7612 0.7612 0.2724 Au
```


# Zn2Ag3Au5

Zn2Ag3Au5 after structural relaxation (PBE, Alexandria).

energy of formation from the pure elements = -0.0660 eV per atom

Geometry as POSCAR:
```
Zn2Ag3Au5
1.0
4.8795 -6.5133 0.0000
4.8795 6.5133 0.0000
-0.3254 0.0000 5.5400
Zn Ag Au
4 6 10
Direct
0.0064 0.7205 0.8820 Zn
0.2795 0.9936 0.6180 Zn
0.7205 0.0064 0.3820 Zn
0.9936 0.2795 0.1180 Zn
0.0405 0.9595 0.2500 Ag
0.1227 0.6348 0.3840 Ag
0.3652 0.8773 0.1160 Ag
0.6348 0.1227 0.8840 Ag
0.8773 0.3652 0.6160 Ag
0.9595 0.0405 0.7500 Ag
0.2044 0.2920 0.4933 Au
0.2113 0.5346 0.8776 Au
0.2920 0.2044 0.9933 Au
0.4578 0.5422 0.2500 Au
0.4654 0.7887 0.6224 Au
0.5346 0.2113 0.3776 Au
0.5422 0.4578 0.7500 Au
0.7080 0.7956 0.0067 Au
0.7887 0.4654 0.1224 Au
0.7956 0.7080 0.5067 Au
```


# ReSb2Pt

ReSb2Pt after structural relaxation (PBE, Alexandria).

formation energy without anion corrections = 87 kJ/mol of formula units

Geometry as POSCAR:
```
ReSb2Pt
1.0
2.8899 0.0000 0.0000
0.0000 4.1423 0.0000
-1.4292 0.0000 7.4869
Re Sb Pt
1 2 1
Direct
0.0000 0.0000 0.0000 Re
0.0910 0.0000 0.6308 Sb
0.8664 0.5000 0.2282 Sb
0.4300 0.5000 0.8509 Pt
```


# GeH

GeH after structural relaxation (PBE, Alexandria).

calculated total energy = -6.681 eV/cell

Geometry as POSCAR:
```
GeH
1.0
0.0000 2.2632 2.2632
2.2632 0.0000 2.2632
2.2632 2.2632 0.0000
Ge H
1 1
Direct
0.0000 0.0000 0.0000 Ge
0.5000 0.5000 0.5000 H
```


# SrCdOs2

SrCdOs2 after structural relaxation (PBE, Alexandria).

energy of formation from the pure elements = 0.8552 eV per atom

Geometry as POSCAR:
```
SrCdOs2
1.0
2.8463 0.0000 0.0000
0.0000 4.9171 0.0000
-0.8629 0.0000 5.9298
Sr Cd Os
1 1 2
Direct
0.0000 0.0000 0.0000 Sr
0.5000 0.0000 0.5000 Cd
0.2964 0.5000 0.6819 Os
0.7036 0.5000 0.3181 Os
```


# Dy7HoSc4

Dy7HoSc4 after structural relaxation (PBE, Alexandria).

energy of formation from the pure elements = 0.2499 eV per atom

Geometry as POSCAR:
```
Dy7HoSc4
1.0
7.7209 -2.8645 0.0000
7.7209 2.8645 0.0000
-4.7903 0.0000 8.0605
Dy Ho Sc
7 1 4
Direct
0.0000 0.0000 0.0000 Dy
0.2595 0.2595 0.7244 Dy
0.2913 0.2913 0.1177 Dy
0.4118 0.4118 0.5537 Dy
0.5882 0.5882 0.4463 Dy
0.7087 0.7087 0.8823 Dy
0.7405 0.7405 0.2756 Dy
0.5000 0.5000 0.0000 Ho
0.0553 0.0553 0.7020 Sc
0.1668 0.1668 0.3486 Sc
0.8332 0.8332 0.6514 Sc
0.9447 0.9447 0.2980 Sc
```


# CoRh

CoRh after structural relaxation (PBE, Alexandria).

energy of formation from the pure elements = 0.0746 eV per atom

Geometry as POSCAR:
```
CoRh
1.0
4.1821 -1.8328 0.0000
4.1821 1.8328 0.0000
-1.6987 0.0000 5.0004
Co Rh
3 3
Direct
0.0000 0.0000 0.0000 Co
0.0038 0.0038 0.5208 Co
0.6619 0.6619 0.8378 Co
0.3320 0.3320 0.1704 Rh
0.3364 0.3364 0.6802 Rh
0.6606 0.6606 0.3368 Rh
```


# La3TbSe4

La3TbSe4 after structural relaxation (PBE, Alexandria).

formation energy without anion corrections = -1497 kJ/mol of formula units

Geometry as POSCAR:
```
La3TbSe4
1.0
4.2887 -6.0295 0.0000
4.2887 6.0295 0.0000
0.0000 0.0000 4.2308
La Tb Se
3 1 4
Direct
0.0000 0.0000 0.0000 La
0.0000 0.5000 0.5000 La
0.5000 0.0000 0.5000 La
0.5000 0.5000 0.0000 Tb
0.2562 0.7438 0.0000 Se
0.2621 0.2621 0.5000 Se
0.7379 0.7379 0.5000 Se
0.7438 0.2562 0.0000 Se
```


Number 1: theoretical density 13.3 g/cm³. Number 2: theoretical density 8.8 g/cm³. Number 3: theoretical density 4.3 g/cm³. Number 4: theoretical density 2.5 g/cm³. Number 5: theoretical density 5.5 g/cm³. Number 6: theoretical density 7.4 g/cm³. Number 7: theoretical density 15.3 g/cm³. Number 8: theoretical density 5.8 g/cm³. Number 9: theoretical density 13.6 g/cm³. Number 10: theoretical density 11.6 g/cm³. Number 11: theoretical density 5.3 g/cm³. Number 12: theoretical density 11.6 g/cm³. Number 13: theoretical density 6.9 g/cm³. Number 14: theoretical density 10.5 g/cm³. Number 15: theoretical density 6.8 g/cm³.